Here is an optimized crystal structure of Pm2Al3Ga2 from Alexandria. Energies are from GGA-PBE.

Unit cell a=5.796 b=5.796 c=6.616 alpha=101.58 beta=101.58 gamma=43.40
Element x y z (fractional)
Pm 0.119 0.119 0.327
Pm 0.881 0.881 0.673
Al 0.203 0.203 0.864
Al 0.500 0.500 0.000
Al 0.797 0.797 0.136
Ga 0.405 0.405 0.343
Ga 0.595 0.595 0.657

Summary:
- Total magnetic moment: 0.0 μB per cell
- Density: 5.69 g/cm3
- Space-group type: No. 12
- Total energy: -4.31 eV per atom
- Energy above the lowest structure with this stoichiometry: 32 meV per atom
- Calculated formation energy: -0.481 eV per atom